[1]
First-principles (meta-GGA SCAN) data for a PBEsol-optimized structure of Sc2CoMo, as listed in the Alexandria database.

```
8
Lattice="3.758 0.000 0.000 0.000 3.758 0.000 0.000 0.000 9.200" Properties=species:S:1:pos:R:3 pbc="T T T"
Sc 0.000 0.000 0.000
Sc 0.000 1.879 2.300
Sc 1.879 0.000 6.900
Sc 1.879 1.879 4.600
Co 0.000 0.000 4.600
Co 1.879 1.879 0.000
Mo 0.000 1.879 6.900
Mo 1.879 0.000 2.300
```

Its space group is I-4m2 (119). The total magnetic moment is 0.0 μB/cell. For the uncorrected energy, the calculation gives -19.87 eV per atom. For the formation energy, the calculation gives 0.2921 eV per atom.

[2]
First-principles (meta-GGA SCAN) data for a PBEsol-optimized structure of Ti3IrCl, as listed in the Alexandria database.

```
5
Lattice="4.788 0.000 0.000 0.000 4.788 0.000 0.000 0.000 4.788" Properties=species:S:1:pos:R:3 pbc="T T T"
Ti 0.000 0.000 2.394
Ti 0.000 2.394 0.000
Ti 2.394 0.000 0.000
Ir 0.000 0.000 0.000
Cl 2.394 2.394 2.394
```

Its space group is Pm-3m (221). The total magnetic moment is 2.8 μB/cell. For the uncorrected formation energy, the calculation gives 0.066 eV/atom. For the uncorrected energy, the calculation gives -25.37 eV per atom.

[3]
First-principles (meta-GGA SCAN) data for a PBEsol-optimized structure of CuTc2Sb, as listed in the Alexandria database.

```
4
Lattice="3.167 0.000 0.000 0.000 3.167 0.000 0.000 0.000 5.956" Properties=species:S:1:pos:R:3 pbc="T T T"
Cu 0.000 0.000 0.000
Tc 0.000 0.000 3.204
Tc 1.583 1.583 4.647
Sb 1.583 1.583 1.517
```

Its space group is P4mm (99). The total magnetic moment is 0.0 μB/cell. For the uncorrected formation energy, the calculation gives 0.238 eV/atom. For the uncorrected energy, the calculation gives -30.41 eV per atom.

[4]
First-principles (meta-GGA SCAN) data for a PBEsol-optimized structure of MgBrCl2, as listed in the Alexandria database.

```
4
Lattice="3.192 0.000 0.000 0.000 3.192 0.000 0.000 0.000 9.072" Properties=species:S:1:pos:R:3 pbc="T T T"
Mg 0.000 0.000 0.000
Br 1.596 1.596 1.790
Cl 0.000 0.000 4.807
Cl 1.596 1.596 7.708
```

Its space group is P4mm (99). The total magnetic moment is 0.8 μB/cell. For the uncorrected formation energy, the calculation gives -0.821 eV/atom. For the uncorrected energy, the calculation gives -10.92 eV per atom.

[5]
First-principles (meta-GGA SCAN) data for a PBEsol-optimized structure of SrScCoHg2, as listed in the Alexandria database.

```
5
Lattice="5.585 0.000 0.000 0.000 5.585 0.000 0.000 0.000 5.820" Properties=species:S:1:pos:R:3 pbc="T T T"
Sr 0.000 0.000 0.000
Sc 0.000 0.000 2.910
Co 2.792 2.792 2.910
Hg 0.000 2.792 0.000
Hg 2.792 0.000 0.000
```

Its space group is P4/mmm (123). The total magnetic moment is 1.0 μB/cell. For the uncorrected energy, the calculation gives -36.56 eV per atom. For the formation energy, the calculation gives 1.4706 eV per atom.

[6]
First-principles (meta-GGA SCAN) data for a PBEsol-optimized structure of ReSiAu2, as listed in the Alexandria database.

```
8
Lattice="2.930 0.000 0.000 0.000 4.070 0.000 0.000 0.000 10.625" Properties=species:S:1:pos:R:3 pbc="T T T"
Re 0.000 0.000 0.000
Re 1.465 2.035 5.312
Si 0.000 0.000 5.312
Si 1.465 2.035 0.000
Au 0.000 2.035 2.087
Au 0.000 2.035 8.538
Au 1.465 0.000 3.226
Au 1.465 0.000 7.399
```

Its space group is Immm (71). The total magnetic moment is 0.0 μB/cell. For the uncorrected formation energy, the calculation gives 0.296 eV/atom. For the uncorrected energy, the calculation gives -54.56 eV per atom.

[7]
First-principles (meta-GGA SCAN) data for a PBEsol-optimized structure of MgTaPt2, as listed in the Alexandria database.

```
4
Lattice="4.775 0.000 0.000 0.000 4.775 0.000 0.000 0.000 2.814" Properties=species:S:1:pos:R:3 pbc="T T T"
Mg 0.000 0.000 0.000
Ta 2.388 2.388 0.000
Pt 0.000 2.388 1.407
Pt 2.388 0.000 1.407
```

Its space group is P4/mmm (123). The total magnetic moment is 0.0 μB/cell. For the uncorrected energy, the calculation gives -53.85 eV per atom. For the formation energy, the calculation gives -0.8664 eV per atom.

[8]
First-principles (meta-GGA SCAN) data for a PBEsol-optimized structure of Na3GaP2O8, as listed in the Alexandria database.

```
56
Lattice="8.820 0.000 0.000 0.306 8.896 0.000 3.022 0.012 8.743" Properties=species:S:1:pos:R:3 pbc="T T T"
Na 1.473 0.685 2.798
Na 2.037 5.939 3.384
Na 3.713 1.820 7.960
Na 4.549 3.648 4.964
Na 5.102 6.664 5.389
Na 3.731 2.326 1.594
Na 8.416 6.582 7.150
Na 7.045 2.244 3.355
Na 7.598 5.259 3.780
Na 8.434 7.088 0.783
Na 10.111 2.969 5.359
Na 10.674 8.223 5.945
Ga 2.447 5.150 0.111
Ga 6.476 0.703 6.535
Ga 5.671 8.205 2.208
Ga 9.700 3.758 8.632
P 2.846 5.334 6.905
P 4.048 0.854 4.491
P 2.954 8.093 0.430
P 5.012 5.127 2.049
P 7.135 3.781 6.694
P 9.193 0.815 8.314
P 8.099 8.054 4.253
P 9.301 3.574 1.838
O 0.927 4.981 1.256
O 1.415 2.476 1.341
O 2.927 5.190 5.379
O 1.697 7.857 1.252
O 4.302 5.638 7.387
O 3.038 1.930 4.068
O 3.720 8.384 4.704
O 5.373 0.182 7.984
O 4.782 1.407 5.765
O 3.554 4.709 1.701
O 4.037 8.778 1.306
O 6.495 6.751 8.575
O 6.230 3.666 7.965
O 4.929 6.539 2.708
O 5.178 0.773 3.371
O 5.585 4.115 3.030
O 6.562 4.793 5.714
O 6.969 8.135 5.372
O 7.218 2.369 6.035
O 5.917 5.242 0.779
O 5.652 2.157 0.168
O 8.110 0.130 7.437
O 8.593 4.199 7.043
O 7.366 7.501 2.979
O 6.774 8.725 0.760
O 8.427 0.524 4.039
O 9.110 6.978 4.675
O 7.845 3.270 1.356
O 10.450 1.051 7.491
O 9.220 3.717 3.365
O 10.732 6.431 7.402
O 11.220 3.926 7.488
```

Its space group is P-1 (2). The total magnetic moment is 0.3 μB/cell. For the uncorrected formation energy, the calculation gives -2.430 eV/atom. For the uncorrected energy, the calculation gives -9.55 eV per atom.